(1)
DFT (PBE-GGA) results for Pm5Sm5Sc2 after structural relaxation.

Values from the calculation:
Symmetry = C2/m, No. 12
Calculated volume = 388.31 Å³ per cell
Energy relative to the elements = 0.43 eV per formula unit

a = 8.010 Å, b = 8.010 Å, c = 11.304 Å
α = 115.16°, β = 115.16°, γ = 36.78°
Positions (direct):
1 Pm 0.000 0.000 0.000
2 Pm 0.164 0.164 0.499
3 Pm 0.254 0.254 0.252
4 Pm 0.746 0.746 0.748
5 Pm 0.836 0.836 0.501
6 Sm 0.332 0.332 0.000
7 Sm 0.420 0.420 0.750
8 Sm 0.500 0.500 0.500
9 Sm 0.580 0.580 0.250
10 Sm 0.668 0.668 0.000
11 Sc 0.084 0.084 0.752
12 Sc 0.916 0.916 0.248



(2)
DFT (PBE-GGA) results for Pm2SmSc2 after structural relaxation.

Values from the calculation:
Symmetry = C2/c, No. 15
Calculated volume = 299.43 Å³ per cell
Energy relative to the elements = 0.52 eV per formula unit

a = 8.498 Å, b = 8.498 Å, c = 6.552 Å
α = 100.01°, β = 100.01°, γ = 134.80°
Positions (direct):
1 Pm 0.203 0.293 0.005
2 Pm 0.293 0.203 0.505
3 Pm 0.707 0.797 0.495
4 Pm 0.797 0.707 0.995
5 Sm 0.342 0.658 0.750
6 Sm 0.658 0.342 0.250
7 Sc 0.151 0.849 0.750
8 Sc 0.251 0.749 0.250
9 Sc 0.749 0.251 0.750
10 Sc 0.849 0.151 0.250



(3)
DFT (PBE-GGA) results for Pm3Sm6Sc after structural relaxation.

Values from the calculation:
Symmetry = Cmc2_1, No. 36
Calculated volume = 668.03 Å³ per cell
Energy relative to the elements = 1.41 eV per formula unit

a = 11.039 Å, b = 11.039 Å, c = 6.359 Å
α = 90.00°, β = 90.00°, γ = 120.44°
Positions (direct):
1 Pm 0.115 0.885 0.500
2 Pm 0.217 0.446 0.118
3 Pm 0.446 0.217 0.618
4 Pm 0.554 0.783 0.118
5 Pm 0.783 0.554 0.618
6 Pm 0.885 0.115 0.000
7 Sm 0.030 0.449 0.709
8 Sm 0.124 0.211 0.521
9 Sm 0.211 0.124 0.021
10 Sm 0.224 0.776 0.930
11 Sm 0.449 0.030 0.209
12 Sm 0.458 0.542 0.682
13 Sm 0.542 0.458 0.182
14 Sm 0.551 0.970 0.709
15 Sm 0.776 0.224 0.430
16 Sm 0.789 0.876 0.521
17 Sm 0.876 0.789 0.021
18 Sm 0.970 0.551 0.209
19 Sc 0.301 0.699 0.454
20 Sc 0.699 0.301 0.954



(4)
DFT (PBE-GGA) results for PmSmSc4 after structural relaxation.

Values from the calculation:
Symmetry = Cmc2_1, No. 36
Calculated volume = 329.11 Å³ per cell
Energy relative to the elements = 0.29 eV per formula unit

a = 8.965 Å, b = 8.965 Å, c = 10.956 Å
α = 90.00°, β = 90.00°, γ = 158.05°
Positions (direct):
1 Pm 0.163 0.837 0.500
2 Pm 0.837 0.163 0.000
3 Sm 0.281 0.719 0.259
4 Sm 0.719 0.281 0.759
5 Sc 0.051 0.949 0.759
6 Sc 0.161 0.839 0.013
7 Sc 0.395 0.605 0.751
8 Sc 0.496 0.504 0.508
9 Sc 0.504 0.496 0.008
10 Sc 0.605 0.395 0.251
11 Sc 0.839 0.161 0.513
12 Sc 0.949 0.051 0.259



(5)
DFT (PBE-GGA) results for Pm3Sm7Sc2 after structural relaxation.

Values from the calculation:
Symmetry = R-3m, No. 166
Calculated volume = 410.95 Å³ per cell
Energy relative to the elements = 3.50 eV per formula unit

a = 11.740 Å, b = 11.740 Å, c = 11.740 Å
α = 32.31°, β = 32.31°, γ = 32.31°
Positions (direct):
1 Pm 0.000 0.000 0.000
2 Pm 0.154 0.154 0.154
3 Pm 0.846 0.846 0.846
4 Sm 0.079 0.582 0.582
5 Sm 0.418 0.418 0.921
6 Sm 0.418 0.921 0.418
7 Sm 0.500 0.500 0.500
8 Sm 0.582 0.079 0.582
9 Sm 0.582 0.582 0.079
10 Sm 0.921 0.418 0.418
11 Sc 0.334 0.334 0.334
12 Sc 0.666 0.666 0.666



(6)
DFT (PBE-GGA) results for Pm4Sm5Sc after structural relaxation.

Values from the calculation:
Symmetry = C2/m, No. 12
Calculated volume = 350.00 Å³ per cell
Energy relative to the elements = 2.36 eV per formula unit

a = 9.368 Å, b = 9.368 Å, c = 8.749 Å
α = 114.76°, β = 114.76°, γ = 30.40°
Positions (direct):
1 Pm 0.031 0.031 0.287
2 Pm 0.323 0.323 0.572
3 Pm 0.677 0.677 0.428
4 Pm 0.969 0.969 0.713
5 Sm 0.161 0.161 0.711
6 Sm 0.173 0.173 0.118
7 Sm 0.500 0.500 0.000
8 Sm 0.827 0.827 0.882
9 Sm 0.839 0.839 0.289
10 Sc 0.500 0.500 0.500



(7)
DFT (PBE-GGA) results for Pm14SmSc after structural relaxation.

Values from the calculation:
Symmetry = P4/mmm, No. 123
Calculated volume = 539.06 Å³ per cell
Energy relative to the elements = 0.36 eV per formula unit

a = 7.258 Å, b = 7.258 Å, c = 10.232 Å
α = 90.00°, β = 90.00°, γ = 90.00°
Positions (direct):
1 Pm 0.000 0.000 0.000
2 Pm 0.000 0.500 0.000
3 Pm 0.000 0.500 0.500
4 Pm 0.247 0.247 0.254
5 Pm 0.247 0.247 0.746
6 Pm 0.247 0.753 0.254
7 Pm 0.247 0.753 0.746
8 Pm 0.500 0.000 0.000
9 Pm 0.500 0.000 0.500
10 Pm 0.500 0.500 0.000
11 Pm 0.753 0.247 0.254
12 Pm 0.753 0.247 0.746
13 Pm 0.753 0.753 0.254
14 Pm 0.753 0.753 0.746
15 Sm 0.500 0.500 0.500
16 Sc 0.000 0.000 0.500



(8)
DFT (PBE-GGA) results for Pm7SmSc4 after structural relaxation.

Values from the calculation:
Symmetry = P-1, No. 2
Calculated volume = 370.27 Å³ per cell
Energy relative to the elements = 0.43 eV per formula unit

a = 6.153 Å, b = 7.104 Å, c = 8.715 Å
α = 90.02°, β = 103.61°, γ = 90.03°
Positions (direct):
1 Pm 0.000 0.000 0.000
2 Pm 0.225 0.500 0.663
3 Pm 0.288 0.244 0.341
4 Pm 0.498 0.758 0.009
5 Pm 0.502 0.242 0.991
6 Pm 0.712 0.756 0.659
7 Pm 0.775 0.500 0.337
8 Sm 0.000 0.500 0.000
9 Sc 0.213 0.999 0.659
10 Sc 0.272 0.760 0.337
11 Sc 0.728 0.240 0.663
12 Sc 0.787 0.001 0.341



(9)
DFT (PBE-GGA) results for Pm3Sm6Sc after structural relaxation.

Values from the calculation:
Symmetry = R-3, No. 148
Calculated volume = 334.99 Å³ per cell
Energy relative to the elements = 2.21 eV per formula unit

a = 6.947 Å, b = 6.947 Å, c = 6.947 Å
α = 91.31°, β = 91.31°, γ = 91.31°
Positions (direct):
1 Pm 0.000 0.000 0.000
2 Pm 0.254 0.254 0.254
3 Pm 0.746 0.746 0.746
4 Sm 0.084 0.422 0.744
5 Sm 0.256 0.916 0.578
6 Sm 0.422 0.744 0.084
7 Sm 0.578 0.256 0.916
8 Sm 0.744 0.084 0.422
9 Sm 0.916 0.578 0.256
10 Sc 0.500 0.500 0.500



(10)
DFT (PBE-GGA) results for Pm4Sm5Sc3 after structural relaxation.

Values from the calculation:
Symmetry = C2/m, No. 12
Calculated volume = 386.66 Å³ per cell
Energy relative to the elements = 2.42 eV per formula unit

a = 8.584 Å, b = 8.584 Å, c = 9.250 Å
α = 115.49°, β = 115.49°, γ = 39.64°
Positions (direct):
1 Pm 0.083 0.083 0.444
2 Pm 0.220 0.220 0.880
3 Pm 0.780 0.780 0.120
4 Pm 0.917 0.917 0.556
5 Sm 0.000 0.000 0.000
6 Sm 0.327 0.327 0.618
7 Sm 0.426 0.426 0.289
8 Sm 0.574 0.574 0.711
9 Sm 0.673 0.673 0.382
10 Sc 0.213 0.213 0.231
11 Sc 0.500 0.500 0.000
12 Sc 0.787 0.787 0.769



(11)
DFT (PBE-GGA) results for PmSmSc2 after structural relaxation.

Values from the calculation:
Symmetry = Fm-3m, No. 225
Calculated volume = 116.20 Å³ per cell
Energy relative to the elements = 0.31 eV per formula unit

a = 5.477 Å, b = 5.477 Å, c = 5.477 Å
α = 60.00°, β = 60.00°, γ = 60.00°
Positions (direct):
1 Pm 0.000 0.000 0.000
2 Sm 0.500 0.500 0.500
3 Sc 0.250 0.250 0.250
4 Sc 0.750 0.750 0.750



(12)
DFT (PBE-GGA) results for PmSmSc6 after structural relaxation.

Values from the calculation:
Symmetry = P-6m2, No. 187
Calculated volume = 215.16 Å³ per cell
Energy relative to the elements = 0.25 eV per formula unit

a = 6.815 Å, b = 6.815 Å, c = 5.349 Å
α = 90.00°, β = 90.00°, γ = 120.00°
Positions (direct):
1 Pm 0.000 0.000 0.000
2 Sm 0.333 0.667 0.500
3 Sc 0.343 0.171 0.500
4 Sc 0.505 0.010 0.000
5 Sc 0.505 0.495 0.000
6 Sc 0.829 0.171 0.500
7 Sc 0.829 0.657 0.500
8 Sc 0.990 0.495 0.000



(13)
DFT (PBE-GGA) results for Pm2Sm3Sc4 after structural relaxation.

Values from the calculation:
Symmetry = C2/c, No. 15
Calculated volume = 532.53 Å³ per cell
Energy relative to the elements = 1.01 eV per formula unit

a = 9.896 Å, b = 9.896 Å, c = 5.847 Å
α = 96.34°, β = 96.34°, γ = 69.81°
Positions (direct):
1 Pm 0.002 0.748 0.701
2 Pm 0.252 0.998 0.799
3 Pm 0.748 0.002 0.201
4 Pm 0.998 0.252 0.299
5 Sm 0.128 0.872 0.250
6 Sm 0.227 0.454 0.388
7 Sm 0.454 0.227 0.888
8 Sm 0.546 0.773 0.112
9 Sm 0.773 0.546 0.612
10 Sm 0.872 0.128 0.750
11 Sc 0.098 0.370 0.845
12 Sc 0.329 0.573 0.961
13 Sc 0.370 0.098 0.345
14 Sc 0.427 0.671 0.539
15 Sc 0.573 0.329 0.461
16 Sc 0.630 0.902 0.655
17 Sc 0.671 0.427 0.039
18 Sc 0.902 0.630 0.155



(14)
DFT (PBE-GGA) results for PmSm5Sc4 after structural relaxation.

Values from the calculation:
Symmetry = I4, No. 79
Calculated volume = 306.57 Å³ per cell
Energy relative to the elements = 3.29 eV per formula unit

a = 7.678 Å, b = 7.678 Å, c = 7.678 Å
α = 99.45°, β = 99.45°, γ = 132.19°
Positions (direct):
1 Pm 0.000 0.000 0.000
2 Sm 0.458 0.458 0.000
3 Sm 0.481 0.878 0.900
4 Sm 0.581 0.481 0.603
5 Sm 0.878 0.978 0.397
6 Sm 0.978 0.581 0.100
7 Sc 0.172 0.870 0.582
8 Sc 0.288 0.589 0.418
9 Sc 0.589 0.172 0.302
10 Sc 0.870 0.288 0.698



(15)
DFT (PBE-GGA) results for PmSm3Sc4 after structural relaxation.

Values from the calculation:
Symmetry = Pmn2_1, No. 31
Calculated volume = 466.61 Å³ per cell
Energy relative to the elements = 0.44 eV per formula unit

a = 10.904 Å, b = 7.168 Å, c = 5.970 Å
α = 90.00°, β = 90.00°, γ = 90.00°
Positions (direct):
1 Pm 0.000 0.139 0.000
2 Pm 0.500 0.861 0.500
3 Sm 0.000 0.861 0.499
4 Sm 0.250 0.139 0.358
5 Sm 0.250 0.861 0.858
6 Sm 0.500 0.139 0.999
7 Sm 0.750 0.139 0.358
8 Sm 0.750 0.861 0.858
9 Sc 0.000 0.392 0.512
10 Sc 0.000 0.608 0.012
11 Sc 0.250 0.392 0.845
12 Sc 0.250 0.608 0.345
13 Sc 0.500 0.392 0.512
14 Sc 0.500 0.608 0.012
15 Sc 0.750 0.392 0.845
16 Sc 0.750 0.608 0.345



(16)
DFT (PBE-GGA) results for PmSm6Sc2 after structural relaxation.

Values from the calculation:
Symmetry = P4_2/mnm, No. 136
Calculated volume = 663.52 Å³ per cell
Energy relative to the elements = 5.32 eV per formula unit

a = 8.007 Å, b = 8.007 Å, c = 10.350 Å
α = 90.00°, β = 90.00°, γ = 90.00°
Positions (direct):
1 Pm 0.000 0.000 0.000
2 Pm 0.500 0.500 0.500
3 Sm 0.232 0.232 0.500
4 Sm 0.242 0.242 0.169
5 Sm 0.242 0.242 0.831
6 Sm 0.258 0.742 0.331
7 Sm 0.258 0.742 0.669
8 Sm 0.268 0.732 0.000
9 Sm 0.732 0.268 0.000
10 Sm 0.742 0.258 0.331
11 Sm 0.742 0.258 0.669
12 Sm 0.758 0.758 0.169
13 Sm 0.758 0.758 0.831
14 Sm 0.768 0.768 0.500
15 Sc 0.000 0.000 0.336
16 Sc 0.000 0.000 0.664
17 Sc 0.500 0.500 0.164
18 Sc 0.500 0.500 0.836



(17)
DFT (PBE-GGA) results for Pm2SmSc after structural relaxation.

Values from the calculation:
Symmetry = R-3m, No. 166
Calculated volume = 128.15 Å³ per cell
Energy relative to the elements = 0.75 eV per formula unit

a = 12.456 Å, b = 12.456 Å, c = 12.456 Å
α = 16.01°, β = 16.01°, γ = 16.01°
Positions (direct):
1 Pm 0.092 0.092 0.092
2 Pm 0.908 0.908 0.908
3 Sm 0.000 0.000 0.000
4 Sc 0.500 0.500 0.500



(18)
DFT (PBE-GGA) results for PmSmSc2 after structural relaxation.

Values from the calculation:
Symmetry = P4/mmm, No. 123
Calculated volume = 115.60 Å³ per cell
Energy relative to the elements = 0.20 eV per formula unit

a = 3.563 Å, b = 3.563 Å, c = 9.107 Å
α = 90.00°, β = 90.00°, γ = 90.00°
Positions (direct):
1 Pm 0.000 0.000 0.000
2 Sm 0.000 0.000 0.500
3 Sc 0.500 0.500 0.251
4 Sc 0.500 0.500 0.749



(19)
DFT (PBE-GGA) results for Pm4Sm3Sc after structural relaxation.

Values from the calculation:
Symmetry = Pmn2_1, No. 31
Calculated volume = 530.90 Å³ per cell
Energy relative to the elements = 0.34 eV per formula unit

a = 11.566 Å, b = 7.293 Å, c = 6.294 Å
α = 90.00°, β = 90.00°, γ = 90.00°
Positions (direct):
1 Pm 0.000 0.128 0.000
2 Pm 0.000 0.872 0.487
3 Pm 0.243 0.871 0.832
4 Pm 0.257 0.129 0.332
5 Pm 0.500 0.128 0.987
6 Pm 0.500 0.872 0.500
7 Pm 0.743 0.129 0.332
8 Pm 0.757 0.871 0.832
9 Sm 0.000 0.376 0.494
10 Sm 0.249 0.379 0.824
11 Sm 0.251 0.621 0.324
12 Sm 0.500 0.624 0.994
13 Sm 0.749 0.621 0.324
14 Sm 0.751 0.379 0.824
15 Sc 0.000 0.621 0.992
16 Sc 0.500 0.379 0.492



(20)
DFT (PBE-GGA) results for Pm8Sm3Sc2 after structural relaxation.

Values from the calculation:
Symmetry = C2/m, No. 12
Calculated volume = 441.68 Å³ per cell
Energy relative to the elements = 2.91 eV per formula unit

a = 10.656 Å, b = 10.656 Å, c = 5.723 Å
α = 90.02°, β = 90.02°, γ = 42.82°
Positions (direct):
1 Pm 0.095 0.681 0.000
2 Pm 0.179 0.179 0.501
3 Pm 0.319 0.905 0.000
4 Pm 0.365 0.365 0.500
5 Pm 0.635 0.635 0.500
6 Pm 0.681 0.095 0.000
7 Pm 0.821 0.821 0.499
8 Pm 0.905 0.319 0.000
9 Sm 0.211 0.789 0.500
10 Sm 0.500 0.500 0.000
11 Sm 0.789 0.211 0.500
12 Sc 0.260 0.260 0.001
13 Sc 0.740 0.740 0.999



(21)
DFT (PBE-GGA) results for PmSmSc after structural relaxation.

Values from the calculation:
Symmetry = I4mm, No. 107
Calculated volume = 92.36 Å³ per cell
Energy relative to the elements = 0.16 eV per formula unit

a = 7.763 Å, b = 7.763 Å, c = 7.763 Å
α = 153.60°, β = 153.60°, γ = 37.69°
Positions (direct):
1 Pm 0.000 0.000 0.000
2 Sm 0.679 0.679 0.000
3 Sc 0.339 0.339 0.000



In order of appearance, D(E_F) = 1.53; 1.91; 1.32; 1.64; 1.82; 1.49; 1.50; 1.39; 1.99; 1.65; 1.50; 2.00; 1.58; 1.60; 1.89; 1.35; 1.96; 1.27; 1.77; 1.47; 1.68 states/eV per atom.